(1)
The following is a DFT calculation (PBE-GGA) of a relaxed Er6BiAs3P2 crystal.

Cell lengths 4.088, 8.252, 9.164 Å; angles 102.62, 102.89, 90.00 degrees
Element x y z (fractional)
1 Er 0.325 0.905 0.650
2 Er 0.670 0.580 0.340
3 Er 0.675 0.095 0.350
4 Er 0.004 0.270 0.009
5 Er 0.996 0.730 0.991
6 Er 0.330 0.420 0.660
7 Bi 0.500 0.000 0.000
8 As 0.500 0.500 0.000
9 As 0.836 0.168 0.672
10 As 0.164 0.832 0.328
11 P 0.832 0.663 0.663
12 P 0.168 0.337 0.337

Calculated values
Formation enthalpy at 0 K ... -1.392 eV/atom
Final energy ... -6.061 eV per atom
Symmetry ... C2/m (12)
M_tot ... 0.00 μB/f.u.
Volume ... 294 Å³/f.u.
Calculated density ... 8.477 g/cm3

(2)
The following is a DFT calculation (PBE-GGA) of a relaxed Er6BiAs2S3 crystal.

Cell lengths 4.042, 8.090, 9.025 Å; angles 102.50, 102.94, 90.00 degrees
Element x y z (fractional)
1 Er 0.324 0.910 0.649
2 Er 0.668 0.583 0.335
3 Er 0.676 0.090 0.351
4 Er 0.000 0.275 0.001
5 Er 0.000 0.725 0.999
6 Er 0.332 0.417 0.665
7 Bi 0.500 0.000 0.000
8 As 0.833 0.666 0.666
9 As 0.167 0.334 0.334
10 S 0.500 0.500 0.000
11 S 0.835 0.169 0.671
12 S 0.165 0.831 0.329

Calculated values
Final energy ... -6.001 eV per atom
Symmetry ... C2/m (12)
M_tot ... 0.00 μB/f.u.
Volume ... 280 Å³/f.u.
Calculated density ... 8.636 g/cm3

(3)
The following is a DFT calculation (PBE-GGA) of a relaxed Er4Bi2AsS crystal.

Cell lengths 4.191, 7.367, 7.245 Å; angles 70.86, 90.00, 90.00 degrees
Element x y z (fractional)
1 Er 0.000 0.723 0.760
2 Er 0.000 0.277 0.240
3 Er 0.500 0.724 0.258
4 Er 0.500 0.276 0.742
5 Bi 0.000 0.000 0.000
6 Bi 0.500 0.000 0.500
7 As 0.000 0.500 0.500
8 S 0.500 0.500 0.000

Calculated values
Final energy ... -5.580 eV per atom
Symmetry ... P2/m (10)
M_tot ... 0.00 μB/f.u.
Volume ... 211 Å³/f.u.
Calculated density ... 9.382 g/cm3

(4)
The following is a DFT calculation (PBE-GGA) of a relaxed Er3BiAsS crystal.

Cell lengths 4.300, 8.421, 9.458 Å; angles 101.57, 90.00, 90.00 degrees
Element x y z (fractional)
1 Er 0.250 0.779 0.497
2 Er 0.750 0.887 0.129
3 Er 0.750 0.432 0.149
4 Er 0.750 0.221 0.503
5 Er 0.250 0.568 0.851
6 Er 0.250 0.113 0.871
7 Bi 0.750 0.819 0.782
8 Bi 0.250 0.181 0.218
9 As 0.250 0.659 0.153
10 As 0.750 0.341 0.847
11 S 0.250 0.107 0.596
12 S 0.750 0.893 0.404

Calculated values
Final energy ... -5.565 eV per atom
Symmetry ... P2_1/m (11)
M_tot ... 0.00 μB/f.u.
Volume ... 168 Å³/f.u.
Calculated density ... 8.094 g/cm3

(5)
The following is a DFT calculation (PBE-GGA) of a relaxed Er6Bi3SbAs2 crystal.

Cell lengths 4.285, 8.662, 9.649 Å; angles 103.47, 102.83, 90.00 degrees
Element x y z (fractional)
1 Er 0.332 0.899 0.664
2 Er 0.673 0.570 0.345
3 Er 0.668 0.101 0.336
4 Er 0.008 0.251 0.017
5 Er 0.992 0.749 0.983
6 Er 0.327 0.430 0.655
7 Bi 0.500 0.500 0.000
8 Bi 0.837 0.169 0.673
9 Bi 0.163 0.831 0.327
10 Sb 0.500 0.000 0.000
11 As 0.832 0.665 0.663
12 As 0.168 0.335 0.337

Calculated values
Final energy ... -5.440 eV per atom
Symmetry ... C2/m (12)
M_tot ... 0.00 μB/f.u.
Volume ... 339 Å³/f.u.
Calculated density ... 9.315 g/cm3

(6)
The following is a DFT calculation (PBE-GGA) of a relaxed Er4BiAsSe2 crystal.

Cell lengths 4.157, 7.147, 7.274 Å; angles 70.45, 90.00, 90.00 degrees
Element x y z (fractional)
1 Er 0.000 0.759 0.728
2 Er 0.000 0.241 0.272
3 Er 0.500 0.747 0.267
4 Er 0.500 0.253 0.733
5 Bi 0.500 0.500 0.000
6 As 0.000 0.500 0.500
7 Se 0.000 0.000 0.000
8 Se 0.500 0.000 0.500

Calculated values
Final energy ... -5.645 eV per atom
Symmetry ... P2/m (10)
M_tot ... 0.00 μB/f.u.
Volume ... 204 Å³/f.u.
Calculated density ... 9.058 g/cm3

(7)
The following is a DFT calculation (PBE-GGA) of a relaxed Er6BiAs3Se2 crystal.

Cell lengths 4.126, 8.301, 9.255 Å; angles 103.41, 102.88, 90.00 degrees
Element x y z (fractional)
1 Er 0.326 0.922 0.653
2 Er 0.664 0.591 0.329
3 Er 0.674 0.078 0.347
4 Er 0.998 0.267 0.997
5 Er 0.002 0.733 0.003
6 Er 0.336 0.409 0.671
7 Bi 0.500 0.000 0.000
8 As 0.500 0.500 0.000
9 As 0.834 0.169 0.668
10 As 0.166 0.831 0.332
11 Se 0.831 0.664 0.662
12 Se 0.169 0.336 0.338

Calculated values
Final energy ... -5.837 eV per atom
Symmetry ... C2/m (12)
M_tot ... 0.00 μB/f.u.
Volume ... 300 Å³/f.u.
Calculated density ... 8.826 g/cm3

(8)
The following is a DFT calculation (PBE-GGA) of a relaxed Er6BiAs2Se3 crystal.

Cell lengths 4.122, 8.273, 9.221 Å; angles 102.49, 102.92, 90.00 degrees
Element x y z (fractional)
1 Er 0.326 0.898 0.652
2 Er 0.671 0.577 0.342
3 Er 0.674 0.102 0.348
4 Er 0.006 0.269 0.012
5 Er 0.994 0.731 0.988
6 Er 0.329 0.423 0.658
7 Bi 0.500 0.000 0.000
8 As 0.832 0.664 0.665
9 As 0.168 0.336 0.335
10 Se 0.500 0.500 0.000
11 Se 0.837 0.166 0.673
12 Se 0.163 0.834 0.327

Calculated values
Final energy ... -5.759 eV per atom
Symmetry ... C2/m (12)
M_tot ... 0.00 μB/f.u.
Volume ... 299 Å³/f.u.
Calculated density ... 8.887 g/cm3

(9)
The following is a DFT calculation (PBE-GGA) of a relaxed Er6Bi3AsSe2 crystal.

Cell lengths 7.351, 7.351, 7.386 Å; angles 99.50, 99.50, 120.06 degrees
Element x y z (fractional)
1 Er 0.924 0.598 0.772
2 Er 0.751 0.751 0.232
3 Er 0.076 0.402 0.228
4 Er 0.598 0.924 0.772
5 Er 0.249 0.249 0.768
6 Er 0.402 0.076 0.228
7 Bi 0.170 0.830 0.500
8 Bi 0.830 0.170 0.500
9 Bi 0.500 0.500 0.500
10 As 0.000 0.000 0.000
11 Se 0.334 0.666 0.000
12 Se 0.666 0.334 0.000

Calculated values
Final energy ... -5.438 eV per atom
Symmetry ... C2/m (12)
M_tot ... 0.00 μB/f.u.
Volume ... 326 Å³/f.u.
Calculated density ... 9.490 g/cm3

(10)
The following is a DFT calculation (PBE-GGA) of a relaxed Er6BiTe3As2 crystal.

Cell lengths 4.232, 8.597, 9.589 Å; angles 103.53, 102.75, 90.00 degrees
Element x y z (fractional)
1 Er 0.329 0.884 0.657
2 Er 0.676 0.568 0.352
3 Er 0.671 0.116 0.343
4 Er 0.014 0.258 0.028
5 Er 0.986 0.742 0.972
6 Er 0.324 0.432 0.648
7 Bi 0.500 0.000 0.000
8 Te 0.500 0.500 0.000
9 Te 0.839 0.166 0.677
10 Te 0.161 0.834 0.323
11 As 0.831 0.662 0.663
12 As 0.169 0.338 0.337

Calculated values
Final energy ... -5.470 eV per atom
Symmetry ... C2/m (12)
M_tot ... 0.00 μB/f.u.
Volume ... 330 Å³/f.u.
Calculated density ... 8.773 g/cm3

(11)
The following is a DFT calculation (PBE-GGA) of a relaxed YErBiAs crystal.

Cell lengths 4.206, 4.207, 7.722 Å; angles 90.00, 105.81, 120.00 degrees
Element x y z (fractional)
1 Y 0.951 0.374 0.340
2 Er 0.323 0.559 0.898
3 Bi 0.473 0.134 0.623
4 As 0.131 0.963 0.109

Calculated values
Formation enthalpy at 0 K ... -1.086 eV/atom
Final energy ... -5.976 eV per atom
Symmetry ... R3m (160)
M_tot ... 0.00 μB/f.u.
Volume ... 112 Å³/f.u.
Calculated density ... 7.985 g/cm3

(12)
The following is a DFT calculation (PBE-GGA) of a relaxed EuBiAs crystal.

Cell lengths 4.359, 4.904, 4.904 Å; angles 120.00, 90.00, 90.00 degrees
Site moments in Bohr magnetons follow the coordinates.
Element x y z (fractional)
1 Eu 0.641 0.667 0.333  -6.87
2 As 0.247 0.333 0.667  0.02
3 Bi 0.111 0.000 0.000  0.02

Calculated values
Formation enthalpy at 0 K ... -0.529 eV/atom
Final energy ... -6.797 eV per atom
Symmetry ... P3m1 (156)
M_tot ... 7.03 μB/f.u.
Volume ... 91 Å³/f.u.
Calculated density ... 7.974 g/cm3

(13)
The following is a DFT calculation (PBE-GGA) of a relaxed EuBi2As crystal.

Cell lengths 5.266, 4.647, 4.647 Å; angles 90.00, 90.00, 90.00 degrees
Site moments in Bohr magnetons follow the coordinates.
Element x y z (fractional)
1 Eu 0.500 0.500 0.500  -6.76
2 As 0.500 0.000 0.000  0.04
3 Bi 0.000 0.000 0.500  0.02
4 Bi 0.000 0.500 0.000  0.02

Calculated values
E above lowest polymorph ... 0 meV/atom
Formation enthalpy at 0 K ... -0.431 eV/atom
Final energy ... -6.102 eV per atom
Symmetry ... P4/mmm (123)
M_tot ... 6.78 μB/f.u.
Volume ... 114 Å³/f.u.
Calculated density ... 9.417 g/cm3

(14)
The following is a DFT calculation (PBE-GGA) of a relaxed EuBi2As crystal.

Cell lengths 3.933, 3.933, 10.585 Å; angles 79.29, 79.29, 60.00 degrees
Site moments in Bohr magnetons follow the coordinates.
Element x y z (fractional)
1 Eu 0.000 0.000 0.000  7.07
2 As 0.500 0.500 0.500  0.00
3 Bi 0.106 0.106 0.681  -0.03
4 Bi 0.894 0.894 0.319  -0.03

Calculated values
E above lowest polymorph ... 518 meV/atom
Formation enthalpy at 0 K ... 0.087 eV/atom
Final energy ... -5.584 eV per atom
Symmetry ... R-3m (166)
M_tot ... 7.59 μB/f.u.
Volume ... 139 Å³/f.u.
Calculated density ... 7.730 g/cm3

(15)
The following is a DFT calculation (PBE-GGA) of a relaxed BiAsF3 crystal.

Cell lengths 4.427, 4.427, 4.427 Å; angles 90.00, 90.00, 90.00 degrees
Element x y z (fractional)
1 As 0.000 0.000 0.000
2 Bi 0.500 0.500 0.500
3 F 0.000 0.500 0.000
4 F 0.000 0.000 0.500
5 F 0.500 0.000 0.000

Calculated values
E above lowest polymorph ... 306 meV/atom
Final energy ... -3.814 eV per atom
Symmetry ... Pm-3m (221)
M_tot ... 0.00 μB/f.u.
Volume ... 87 Å³/f.u.
Calculated density ... 6.526 g/cm3

(16)
The following is a DFT calculation (PBE-GGA) of a relaxed Bi2As2F crystal.

Cell lengths 7.640, 7.640, 4.034 Å; angles 90.00, 90.00, 90.00 degrees
Element x y z (fractional)
1 As 0.126 0.626 0.500
2 As 0.626 0.874 0.500
3 As 0.874 0.374 0.500
4 As 0.374 0.126 0.500
5 Bi 0.319 0.819 0.000
6 Bi 0.819 0.681 0.000
7 Bi 0.681 0.181 0.000
8 Bi 0.181 0.319 0.000
9 F 0.000 0.000 0.000
10 F 0.500 0.500 0.000

Calculated values
E above lowest polymorph ... 0 meV/atom
Final energy ... -4.137 eV per atom
Symmetry ... P4/mbm (127)
M_tot ... 0.00 μB/f.u.
Volume ... 118 Å³/f.u.
Calculated density ... 8.277 g/cm3

(17)
The following is a DFT calculation (PBE-GGA) of a relaxed BiAs2F crystal.

Cell lengths 3.816, 3.816, 11.629 Å; angles 80.56, 80.56, 90.00 degrees
Element x y z (fractional)
1 As 0.591 0.125 0.250
2 As 0.159 0.625 0.250
3 As 0.375 0.409 0.750
4 As 0.875 0.841 0.750
5 Bi 0.000 0.000 0.000
6 Bi 0.750 0.250 0.500
7 F 0.500 0.500 0.000
8 F 0.250 0.750 0.500

Calculated values
E above lowest polymorph ... 0 meV/atom
Final energy ... -4.217 eV per atom
Symmetry ... I-42d (122)
M_tot ... 0.00 μB/f.u.
Volume ... 82 Å³/f.u.
Calculated density ... 7.616 g/cm3

(18)
The following is a DFT calculation (PBE-GGA) of a relaxed BiAs2F8 crystal.

Cell lengths 5.913, 6.156, 6.156 Å; angles 52.73, 88.96, 88.96 degrees
Element x y z (fractional)
1 Bi 0.000 0.000 0.000
2 As 0.600 0.759 0.759
3 As 0.400 0.241 0.241
4 F 0.222 0.363 0.921
5 F 0.778 0.079 0.637
6 F 0.330 0.900 0.900
7 F 0.670 0.100 0.100
8 F 0.222 0.921 0.363
9 F 0.778 0.637 0.079
10 F 0.818 0.640 0.640
11 F 0.182 0.360 0.360

Calculated values
Final energy ... -4.520 eV per atom
Symmetry ... C2/m (12)
M_tot ... 0.00 μB/f.u.
Volume ... 178 Å³/f.u.
Calculated density ... 4.758 g/cm3

(19)
The following is a DFT calculation (PBE-GGA) of a relaxed Bi2As2F crystal.

Cell lengths 4.653, 4.653, 7.529 Å; angles 72.00, 72.00, 90.00 degrees
Element x y z (fractional)
1 As 0.750 0.250 0.500
2 As 0.250 0.750 0.500
3 Bi 0.373 0.373 0.254
4 Bi 0.627 0.627 0.746
5 F 0.000 0.000 0.000

Calculated values
E above lowest polymorph ... 119 meV/atom
Final energy ... -4.018 eV per atom
Symmetry ... I4/mmm (139)
M_tot ... 0.00 μB/f.u.
Volume ... 147 Å³/f.u.
Calculated density ... 6.647 g/cm3

(20)
The following is a DFT calculation (PBE-GGA) of a relaxed Bi3AsF crystal.

Cell lengths 5.079, 5.079, 5.079 Å; angles 90.00, 90.00, 90.00 degrees
Element x y z (fractional)
1 As 0.500 0.500 0.500
2 Bi 0.000 0.500 0.000
3 Bi 0.000 0.000 0.500
4 Bi 0.500 0.000 0.000
5 F 0.000 0.000 0.000

Calculated values
E above lowest polymorph ... 0 meV/atom
Final energy ... -3.683 eV per atom
Symmetry ... Pm-3m (221)
M_tot ... 0.00 μB/f.u.
Volume ... 131 Å³/f.u.
Calculated density ... 9.139 g/cm3

(21)
The following is a DFT calculation (PBE-GGA) of a relaxed Bi2AsF crystal.

Cell lengths 7.483, 7.483, 6.302 Å; angles 53.58, 53.58, 90.00 degrees
Element x y z (fractional)
1 As 0.000 0.000 0.000
2 As 0.750 0.250 0.500
3 Bi 0.610 0.125 0.250
4 Bi 0.140 0.625 0.250
5 Bi 0.375 0.390 0.750
6 Bi 0.875 0.860 0.750
7 F 0.500 0.500 0.000
8 F 0.250 0.750 0.500

Calculated values
E above lowest polymorph ... 0 meV/atom
Final energy ... -4.147 eV per atom
Symmetry ... I-42d (122)
M_tot ... 0.00 μB/f.u.
Volume ... 96 Å³/f.u.
Calculated density ... 8.871 g/cm3

(22)
The following is a DFT calculation (PBE-GGA) of a relaxed BiAsF6 crystal.

Cell lengths 5.096, 5.096, 5.471 Å; angles 96.35, 96.35, 113.16 degrees
Element x y z (fractional)
1 Bi 0.000 0.000 0.000
2 As 0.500 0.500 0.500
3 F 0.235 0.235 0.707
4 F 0.449 0.135 0.248
5 F 0.765 0.765 0.293
6 F 0.865 0.551 0.752
7 F 0.551 0.865 0.752
8 F 0.135 0.449 0.248

Calculated values
Final energy ... -4.601 eV per atom
Symmetry ... C2/m (12)
M_tot ... 0.00 μB/f.u.
Volume ... 128 Å³/f.u.
Calculated density ... 5.162 g/cm3

(23)
The following is a DFT calculation (PBE-GGA) of a relaxed Bi2AsF crystal.

Cell lengths 5.025, 5.025, 5.025 Å; angles 60.00, 60.00, 60.00 degrees
Element x y z (fractional)
1 As 0.500 0.500 0.500
2 Bi 0.250 0.250 0.250
3 Bi 0.750 0.750 0.750
4 F 0.000 0.000 0.000

Calculated values
E above lowest polymorph ... 88 meV/atom
Final energy ... -4.060 eV per atom
Symmetry ... Fm-3m (225)
M_tot ... 0.00 μB/f.u.
Volume ... 90 Å³/f.u.
Calculated density ... 9.476 g/cm3

(24)
The following is a DFT calculation (PBE-GGA) of a relaxed BiAs2F crystal.

Cell lengths 4.850, 4.850, 4.850 Å; angles 60.00, 60.00, 60.00 degrees
Element x y z (fractional)
1 As 0.250 0.250 0.250
2 As 0.750 0.750 0.750
3 Bi 0.500 0.500 0.500
4 F 0.000 0.000 0.000

Calculated values
E above lowest polymorph ... 333 meV/atom
Final energy ... -3.884 eV per atom
Symmetry ... Fm-3m (225)
M_tot ... 0.00 μB/f.u.
Volume ... 81 Å³/f.u.
Calculated density ... 7.778 g/cm3

(25)
The following is a DFT calculation (PBE-GGA) of a relaxed BiAsF3 crystal.

Cell lengths 4.650, 4.650, 4.650 Å; angles 90.00, 90.00, 90.00 degrees
Site moments in Bohr magnetons follow the coordinates.
Element x y z (fractional)
1 As 0.500 0.500 0.500  1.23
2 Bi 0.000 0.000 0.000  0.03
3 F 0.000 0.500 0.000  0.05
4 F 0.000 0.000 0.500  0.10
5 F 0.500 0.000 0.000  0.06

Calculated values
E above lowest polymorph ... 0 meV/atom
Final energy ... -4.119 eV per atom
Symmetry ... Pm-3m (221)
M_tot ... 3.00 μB/f.u.
Volume ... 101 Å³/f.u.
Calculated density ... 5.631 g/cm3